The following is a PBE calculation of a geometry-optimized MnCu2Tc structure, from Alexandria.

Summary:
Its magnetization is 2.16 μB per cell. Its space-group type is No. 25. As for the mass density: 9.1 g/cm3. Its electronic total energy is -27.0 eV for the cell shown.

Cell: 2.573 3.744 5.311 Å, 90.00 90.00 90.00°
Each line ends with the local moment (μB).
Fractional positions:
Cu1 0.000 0.000 0.015  0.02
Cu2 0.500 0.500 0.241  0.04
Mn1 0.000 0.000 0.506  2.36
Tc1 0.500 0.500 0.738  -0.29

---

The following is a PBE calculation of a geometry-optimized MnCu2Tc structure, from Alexandria.

Summary:
Its magnetization is 1.67 μB per cell. Its space-group type is No. 119. As for the mass density: 9.1 g/cm3. Its electronic total energy is -26.9 eV for the cell shown.

Cell: 4.458 4.458 4.458 Å, 129.91 129.88 73.58°
Each line ends with the local moment (μB).
Fractional positions:
Cu1 0.750 0.250 0.500  0.03
Tc1 0.250 0.750 0.500  -0.79
Cu2 0.000 0.000 0.000  -0.02
Mn1 0.500 0.500 0.000  2.44

---

The following is a PBE calculation of a geometry-optimized MnCuTc2 structure, from Alexandria.

Summary:
Its magnetization is 2.90 μB per cell. Its space-group type is No. 99. As for the mass density: 9.5 g/cm3. Its electronic total energy is -33.4 eV for the cell shown.

Cell: 3.106 3.106 5.678 Å, 90.00 90.00 90.00°
Each line ends with the local moment (μB).
Fractional positions:
Tc1 0.000 0.000 0.005  -0.15
Mn1 0.500 0.500 0.727  3.15
Tc2 0.500 0.500 0.253  -0.16
Cu1 0.000 0.000 0.515  0.05